[1]
The following is a DFT calculation (PBE) of a geometry-optimized Sr2LuSc structure.

a = 5.893 Å, b = 5.893 Å, c = 5.893 Å
α = 60.00°, β = 60.00°, γ = 60.00°
Each line ends with the local moment (μB).
Atoms (fractional coordinates):
Lu 0.500 0.500 0.500  0.13
Sc 0.750 0.750 0.750  0.20
Sr 0.000 0.000 0.000  0.02
Sr 0.250 0.250 0.250  0.02

Values from the calculation:
SG: F-43m

[2]
The following is a DFT calculation (PBE) of a geometry-optimized TbLuSc structure.

a = 5.202 Å, b = 5.202 Å, c = 5.202 Å
α = 60.00°, β = 60.00°, γ = 60.00°
Atoms (fractional coordinates):
Lu 0.250 0.250 0.250
Sc 0.000 0.000 0.000
Tb 0.750 0.750 0.750

Values from the calculation:
Distance to the lowest polymorph of the same formula (eV per atom): 0.0000
Formation energy from the elements (eV per atom): 0.696
SG: F-43m

[3]
The following is a DFT calculation (PBE) of a geometry-optimized LuSc2Tc structure.

a = 4.873 Å, b = 4.873 Å, c = 4.873 Å
α = 60.00°, β = 60.00°, γ = 60.00°
Atoms (fractional coordinates):
Lu 0.250 0.250 0.250
Sc 0.000 0.000 0.000
Sc 0.750 0.750 0.750
Tc 0.500 0.500 0.500

Values from the calculation:
Formation energy from the elements (eV per atom): 0.020
SG: F-43m

Number 1: VASP energy -3.203 eV/atom. Number 2: VASP energy -4.465 eV/atom. Number 3: VASP energy -6.865 eV/atom.